# KTl2CuSb, optimized geometry, DFT PBE
data_KTl2CuSb
_chemical_formula_sum 'K1 Tl2 Cu1 Sb1'
_cell_length_a 5.489
_cell_length_b 5.489
_cell_length_c 5.175
_cell_angle_alpha 90.00
_cell_angle_beta 90.00
_cell_angle_gamma 90.00
_space_group_name_H-M_alt 'P 1'
_space_group_IT_number 1
loop_
_space_group_symop_operation_xyz
'x,y,z'
loop_
_atom_site_label
_atom_site_fract_x
_atom_site_fract_y
_atom_site_fract_z
_atom_site_occupancy
Tl1 0.000 0.500 0.000 1
Sb1 0.000 0.000 0.500 1
Cu1 0.000 0.000 0.000 1
Tl2 0.500 0.000 0.000 1
K1 0.500 0.500 0.500 1
# E_tot	-2.806	eV/atom
# SG	P4/mmm (123)

=====

# Y2CrP, optimized geometry, DFT PBE
data_Y2CrP
_chemical_formula_sum 'Y2 Cr1 P1'
_cell_length_a 4.082
_cell_length_b 3.958
_cell_length_c 5.786
_cell_angle_alpha 70.03
_cell_angle_beta 90.00
_cell_angle_gamma 90.00
_space_group_name_H-M_alt 'P 1'
_space_group_IT_number 1
loop_
_space_group_symop_operation_xyz
'x,y,z'
loop_
_atom_site_label
_atom_site_fract_x
_atom_site_fract_y
_atom_site_fract_z
_atom_site_occupancy
Y1 0.000 0.983 0.909 1
Cr1 0.000 0.693 0.488 1
P1 0.500 0.556 0.763 1
Y2 0.500 0.268 0.339 1
# ΔH_f (0 K)	-591	meV/atom
# SG	Amm2 (38)

=====

# ZrTe4Ru, optimized geometry, DFT PBE
data_ZrTe4Ru
_chemical_formula_sum 'Zr1 Te4 Ru1'
_cell_length_a 6.080
_cell_length_b 6.080
_cell_length_c 6.080
_cell_angle_alpha 60.00
_cell_angle_beta 60.00
_cell_angle_gamma 60.00
_space_group_name_H-M_alt 'P 1'
_space_group_IT_number 1
loop_
_space_group_symop_operation_xyz
'x,y,z'
loop_
_atom_site_label
_atom_site_fract_x
_atom_site_fract_y
_atom_site_fract_z
_atom_site_occupancy
Te1 0.375 0.375 0.375 1
Zr1 0.750 0.750 0.750 1
Te2 0.375 0.375 0.876 1
Te3 0.876 0.375 0.375 1
Ru1 0.000 0.000 0.000 1
Te4 0.375 0.876 0.375 1
# E_tot	-4.034	eV/atom
# SG	F-43m (216)

=====

# RuIN2F, optimized geometry, DFT PBE
data_RuIN2F
_chemical_formula_sum 'Ru1 I1 N2 F1'
_cell_length_a 3.996
_cell_length_b 3.996
_cell_length_c 4.434
_cell_angle_alpha 90.00
_cell_angle_beta 90.00
_cell_angle_gamma 90.00
_space_group_name_H-M_alt 'P 1'
_space_group_IT_number 1
loop_
_space_group_symop_operation_xyz
'x,y,z'
loop_
_atom_site_label
_atom_site_fract_x
_atom_site_fract_y
_atom_site_fract_z
_atom_site_occupancy
F1 0.000 0.000 0.000 1
I1 0.000 0.000 0.500 1
N1 0.000 0.500 0.000 1
N2 0.500 0.000 0.000 1
Ru1 0.500 0.500 0.500 1
# E_tot	-3.395	eV/atom
# SG	P4/mmm (123)

=====

# RbVHgI2, optimized geometry, DFT PBE
data_RbVHgI2
_chemical_formula_sum 'Rb1 V1 Hg1 I2'
_cell_length_a 5.826
_cell_length_b 5.573
_cell_length_c 5.826
_cell_angle_alpha 90.00
_cell_angle_beta 90.00
_cell_angle_gamma 90.00
_space_group_name_H-M_alt 'P 1'
_space_group_IT_number 1
loop_
_space_group_symop_operation_xyz
'x,y,z'
loop_
_atom_site_label
_atom_site_fract_x
_atom_site_fract_y
_atom_site_fract_z
_atom_site_occupancy
I1 0.500 0.000 0.000 1
I2 0.000 0.000 0.500 1
Hg1 0.000 0.500 0.000 1
V1 0.000 0.000 0.000 1
Rb1 0.500 0.500 0.500 1
# E_tot	-3.106	eV/atom
# SG	P4/mmm (123)

=====

# Tl2NiSe, optimized geometry, DFT PBE
data_Tl2NiSe
_chemical_formula_sum 'Tl2 Ni1 Se1'
_cell_length_a 3.589
_cell_length_b 3.589
_cell_length_c 7.727
_cell_angle_alpha 90.00
_cell_angle_beta 90.00
_cell_angle_gamma 111.28
_space_group_name_H-M_alt 'P 1'
_space_group_IT_number 1
loop_
_space_group_symop_operation_xyz
'x,y,z'
loop_
_atom_site_label
_atom_site_fract_x
_atom_site_fract_y
_atom_site_fract_z
_atom_site_occupancy
Se1 0.500 0.500 0.750 1
Tl1 0.000 0.000 0.022 1
Ni1 0.500 0.500 0.250 1
Tl2 0.000 0.000 0.478 1
# E_tot	-3.208	eV/atom
# SG	Cmmm (65)

=====

# TmCdAg, optimized geometry, DFT PBE
data_TmCdAg
_chemical_formula_sum 'Tm1 Cd1 Ag1'
_cell_length_a 3.752
_cell_length_b 3.752
_cell_length_c 5.466
_cell_angle_alpha 110.07
_cell_angle_beta 110.07
_cell_angle_gamma 90.00
_space_group_name_H-M_alt 'P 1'
_space_group_IT_number 1
loop_
_space_group_symop_operation_xyz
'x,y,z'
loop_
_atom_site_label
_atom_site_fract_x
_atom_site_fract_y
_atom_site_fract_z
_atom_site_occupancy
Cd1 0.610 0.610 0.219 1
Ag1 0.954 0.954 0.909 1
Tm1 0.286 0.286 0.572 1
# ΔH_f (0 K)	-246	meV/atom
# SG	I4mm (107)

=====

# HgSeSBr2, optimized geometry, DFT PBE
data_HgSeSBr2
_chemical_formula_sum 'Hg1 Se1 S1 Br2'
_cell_length_a 5.167
_cell_length_b 5.167
_cell_length_c 5.039
_cell_angle_alpha 90.00
_cell_angle_beta 90.00
_cell_angle_gamma 90.00
_space_group_name_H-M_alt 'P 1'
_space_group_IT_number 1
loop_
_space_group_symop_operation_xyz
'x,y,z'
loop_
_atom_site_label
_atom_site_fract_x
_atom_site_fract_y
_atom_site_fract_z
_atom_site_occupancy
Br1 0.000 0.500 0.000 1
Br2 0.500 0.000 0.000 1
S1 0.000 0.000 0.000 1
Se1 0.000 0.000 0.500 1
Hg1 0.500 0.500 0.500 1
# E_tot	-1.930	eV/atom
# SG	P4/mmm (123)

=====

Number 1: DOS(E_F) 1.78 states/eV/f.u.. Number 2: DOS(E_F) 3.22 states/eV/f.u.. Number 3: DOS(E_F) 5.74 states/eV/f.u.. Number 4: DOS(E_F) 3.54 states/eV/f.u.. Number 5: DOS(E_F) 2.33 states/eV/f.u.. Number 6: DOS(E_F) 2.91 states/eV/f.u.. Number 7: DOS(E_F) 1.02 states/eV/f.u.. Number 8: DOS(E_F) 4.50 states/eV/f.u..